w.
A plane-wave DFT calculation with GGA-PBEsol was carried out for crystalline Ca2YZr at its relaxed geometry.

Lattice parameters (Å, degrees): 3.340 5.905 6.205 90.00 96.31 90.00
Fractional coordinates of all 4 atoms:
Ca 0.245 0.000 0.258
Ca 0.755 0.000 0.742
Y 0.500 0.500 0.000
Zr 0.000 0.500 0.500

Output
Density of states at the Fermi level, states/eV/f.u.: 5.76

x.
A plane-wave DFT calculation with GGA-PBEsol was carried out for crystalline Ca2YZr at its relaxed geometry.

Lattice parameters (Å, degrees): 4.770 4.770 5.298 90.00 90.00 90.00
Fractional coordinates of all 4 atoms:
Ca 0.000 0.500 0.000
Ca 0.500 0.000 0.000
Y 0.000 0.000 0.500
Zr 0.500 0.500 0.500

Output
Density of states at the Fermi level, states/eV/f.u.: 6.98

w has the most favorable energy; the next structure is 0.035 eV/atom above.